No. 1
Entry from Alexandria: a relaxed Tl2AgSnBr5 crystal (PBE-GGA).

It has space group Cmc2_1 (No. 36), with a = 4.463 Å, b = 19.424 Å, c = 14.224 Å, α = 90.00°, β = 90.00° and γ = 90.00°. The asymmetric unit holds Tl at (0.000, 0.098, 0.000), Tl at (0.000, 0.128, 0.635), Ag at (0.000, 0.449, 0.771), Sn at (0.000, 0.211, 0.344), Br at (0.000, 0.050, 0.377), Br at (0.000, 0.281, 0.988), Br at (0.000, 0.305, 0.700), Br at (0.000, 0.358, 0.324) and Br at (0.000, 0.496, 0.101).

The total energy is -2.936 eV/atom. The density is 5.6 Mg/m³. The volume comes out at 1233.0 Å³/cell. Its crystal system is orthorhombic.


No. 2
Entry from Alexandria: a relaxed Ba3Sb2PbO9 crystal (PBE-GGA).

It has space group P-3m1 (No. 164), with a = 6.0512 Å, b = 6.0512 Å, c = 7.6172 Å, α = 90.00°, β = 90.00° and γ = 120.00°. The asymmetric unit holds Ba at (0.0000, 0.0000, 0.0000), Ba at (0.3333, 0.6667, 0.6746), Sb at (0.3333, 0.6667, 0.1606), Pb at (0.0000, 0.0000, 0.5000), O at (0.0000, 0.5000, 0.0000) and O at (0.1762, 0.3524, 0.3021).

The total energy is -6.149 eV/atom. The density is 6.9 Mg/m³. The volume comes out at 241.6 Å³/cell. Its crystal system is trigonal.


No. 3
Entry from Alexandria: a relaxed Co2NiBr crystal (PBE-GGA).

It has space group Cmmm (No. 65), with a = 5.011 Å, b = 7.207 Å, c = 2.961 Å, α = 90.00°, β = 90.00° and γ = 90.00°. The asymmetric unit holds Co at (0.250, 0.250, 0.000), Ni at (0.000, 0.000, 0.500) and Br at (0.000, 0.500, 0.500).

For the offset from the most stable computed form, the calculation gives 0.329 eV/atom. The total energy is -4.686 eV/atom. The density is 8.0 Mg/m³. The volume comes out at 106.9 Å³/cell. Its crystal system is orthorhombic.


No. 4
Entry from Alexandria: a relaxed Sn2Ge2Au5 crystal (PBE-GGA).

It has space group C2/m (No. 12), with a = 13.330 Å, b = 4.513 Å, c = 8.758 Å, α = 90.00°, β = 129.25° and γ = 90.00°. The asymmetric unit holds Sn at (0.129, 0.000, 0.408), Ge at (0.119, 0.500, 0.895), Au at (0.000, 0.500, 0.500), Au at (0.121, 0.500, 0.201) and Au at (0.142, 0.000, 0.759).

The total energy is -3.776 eV/atom. The density is 11.1 Mg/m³. The formation energy is -0.04 eV per atom. The volume comes out at 408.0 Å³/cell. Its crystal system is monoclinic.